This record from Alexandria describes an optimized crystal structure of TlIn2GaPt. The functional is PBE.

Results
Symmetry: P4/mmm
DOS(E_F), states/eV/cell: 3.3
Energy of formation from the pure elements, kJ/mol of atoms: -15.4
Raw total energy, eV/atom: -3.54
M_tot, Bohr magnetons per cell: 0.00

Geometry as POSCAR:
```
TlIn2GaPt
1.0
5.2848 0.0000 0.0000
0.0000 5.2848 0.0000
0.0000 0.0000 4.8460
Tl In Ga Pt
1 2 1 1
Direct
0.0000 0.0000 0.0000
0.0000 0.5000 0.5000
0.5000 0.0000 0.5000
0.5000 0.5000 0.0000
0.5000 0.5000 0.5000
```